# ScFe2Mo PBE relaxed
# DFT formation energy = 179 meV per atom
data_ScFe2Mo
_chemical_formula_sum 'Sc1 Fe2 Mo1'
_space_group_name_H-M_alt 'P 1'
_space_group_IT_number 1
_cell_length_a 4.8934
_cell_length_b 5.3768
_cell_length_c 2.7146
_cell_angle_alpha 77.68
_cell_angle_beta 80.78
_cell_angle_gamma 119.36
loop_
_space_group_symop_operation_xyz
'x,y,z'
loop_
_atom_site_label
_atom_site_type_symbol
_atom_site_fract_x
_atom_site_fract_y
_atom_site_fract_z
_atom_site_occupancy
Fe1 Fe 0.0000 0.0000 0.0000 1
Fe2 Fe 0.0000 0.5000 0.5000 1
Mo1 Mo 0.5000 0.5000 0.0000 1
Sc1 Sc 0.5000 0.0000 0.5000 1